The following is a PBE-GGA calculation of a geometry-optimized Sr3Pr3ErSe8 structure, from the Alexandria database.

Values from the calculation:
SG: R-3m
Energy relative to the elements, uncorrected, meV per atom: -1940

POSCAR file:
```
Sr3Pr3ErSe8
1.0
4.2736 2.4674 7.2165
-4.2736 2.4674 7.2165
0.0000 -4.9347 7.2165
Sr Pr Er Se
3 3 1 8
Direct
0.0000 0.5000 0.5000
0.5000 0.0000 0.5000
0.5000 0.5000 0.0000
0.0000 0.0000 0.5000
0.0000 0.5000 0.0000
0.5000 0.0000 0.0000
0.5000 0.5000 0.5000
0.2479 0.2479 0.2479
0.2562 0.7369 0.7369
0.2631 0.2631 0.7438
0.2631 0.7438 0.2631
0.7369 0.2562 0.7369
0.7369 0.7369 0.2562
0.7438 0.2631 0.2631
0.7521 0.7521 0.7521
```

The following is a PBE-GGA calculation of a geometry-optimized HoTiIr4 structure, from the Alexandria database.

Values from the calculation:
E_form, kJ/mol of atoms: -55.1
SG: F-43m

POSCAR file:
```
HoTiIr4
1.0
0.0000 3.7132 3.7132
3.7132 0.0000 3.7132
3.7132 3.7132 0.0000
Ho Ti Ir
1 1 4
Direct
0.0000 0.0000 0.0000
0.2500 0.2500 0.2500
0.1251 0.6250 0.6250
0.6250 0.1251 0.6250
0.6250 0.6250 0.1251
0.6250 0.6250 0.6250
```

The following is a PBE-GGA calculation of a geometry-optimized Pa2C3 structure, from the Alexandria database.

Values from the calculation:
E_form, kJ/mol of atoms: -33.6
SG: I-43d

POSCAR file:
```
Pa2C3
1.0
-4.1038 4.1038 4.1038
4.1038 -4.1038 4.1038
4.1038 4.1038 -4.1038
Pa C
8 12
Direct
0.0000 0.0983 0.5000
0.0000 0.5983 0.5000
0.0983 0.5000 0.0000
0.4017 0.4017 0.4017
0.5000 0.0000 0.0983
0.5000 0.0000 0.5983
0.5983 0.5000 0.0000
0.9017 0.9017 0.9017
0.0365 0.7865 0.2500
0.2135 0.9635 0.2500
0.2500 0.0365 0.7865
0.2500 0.2135 0.9635
0.2865 0.5365 0.7500
0.4635 0.7135 0.7500
0.5365 0.7500 0.2865
0.7135 0.7500 0.4635
0.7500 0.2865 0.5365
0.7500 0.4635 0.7135
0.7865 0.2500 0.0365
0.9635 0.2500 0.2135
```

The following is a PBE-GGA calculation of a geometry-optimized KAgOs2N structure, from the Alexandria database.

Values from the calculation:
SG: P4/mmm
Energy relative to the elements, uncorrected, meV per atom: 4262

POSCAR file:
```
KAgOs2N
1.0
4.9521 0.0000 0.0000
0.0000 4.9521 0.0000
0.0000 0.0000 5.4882
K Ag Os N
1 1 2 1
Direct
0.0000 0.0000 0.0000
0.0000 0.0000 0.5000
0.0000 0.5000 0.0000
0.5000 0.0000 0.0000
0.5000 0.5000 0.5000
```

The following is a PBE-GGA calculation of a geometry-optimized SrNpTiO6 structure, from the Alexandria database.

Values from the calculation:
SG: P-31c
Energy relative to the elements, uncorrected, meV per atom: -2997

POSCAR file:
```
SrNpTiO6
1.0
5.4433 0.0000 0.0000
-2.7217 4.7140 0.0000
0.0000 0.0000 10.6468
Sr Np Ti O
2 2 2 12
Direct
0.0000 0.0000 0.0000
0.0000 0.0000 0.5000
0.3333 0.6667 0.2500
0.6667 0.3333 0.7500
0.3333 0.6667 0.7500
0.6667 0.3333 0.2500
0.0114 0.3792 0.6482
0.0114 0.6322 0.8518
0.3678 0.3792 0.8518
0.3678 0.9886 0.6482
0.3792 0.0114 0.1482
0.3792 0.3678 0.3518
0.6208 0.6322 0.6482
0.6208 0.9886 0.8518
0.6322 0.0114 0.3518
0.6322 0.6208 0.1482
0.9886 0.3678 0.1482
0.9886 0.6208 0.3518
```

The following is a PBE-GGA calculation of a geometry-optimized HgPb2Br structure, from the Alexandria database.

Values from the calculation:
SG: Fm-3m
ΔE to the lowest computed polymorph, eV per formula unit: 0.56
Energy relative to the elements, uncorrected, meV per atom: -62

POSCAR file:
```
HgPb2Br
1.0
7.7466 0.0000 0.0000
0.0000 7.7466 0.0000
0.0000 0.0000 7.7466
Hg Pb Br
4 8 4
Direct
0.0000 0.0000 0.0000
0.0000 0.5000 0.5000
0.5000 0.0000 0.5000
0.5000 0.5000 0.0000
0.2500 0.2500 0.2500
0.2500 0.2500 0.7500
0.2500 0.7500 0.2500
0.2500 0.7500 0.7500
0.7500 0.2500 0.2500
0.7500 0.2500 0.7500
0.7500 0.7500 0.2500
0.7500 0.7500 0.7500
0.0000 0.0000 0.5000
0.0000 0.5000 0.0000
0.5000 0.0000 0.0000
0.5000 0.5000 0.5000
```

The following is a PBE-GGA calculation of a geometry-optimized PuAl2ZnAu4 structure, from the Alexandria database.

Values from the calculation:
E_form, kJ/mol of atoms: -35.1
SG: R-3m

POSCAR file:
```
PuAl2ZnAu4
1.0
2.2176 1.2803 8.9398
-2.2176 1.2803 8.9398
0.0000 -2.5606 8.9398
Pu Al Zn Au
1 2 1 4
Direct
0.0000 0.0000 0.0000
0.2427 0.2427 0.2427
0.7573 0.7573 0.7573
0.5000 0.5000 0.5000
0.1323 0.1323 0.1323
0.3973 0.3973 0.3973
0.6027 0.6027 0.6027
0.8677 0.8677 0.8677
```

The following is a PBE-GGA calculation of a geometry-optimized Li2ScCdHg4 structure, from the Alexandria database.

Values from the calculation:
E_form, kJ/mol of atoms: -27.7
SG: R-3m

POSCAR file:
```
Li2ScCdHg4
1.0
2.4187 1.3965 8.2087
-2.4187 1.3965 8.2087
0.0000 -2.7929 8.2087
Li Sc Cd Hg
2 1 1 4
Direct
0.2464 0.2464 0.2464
0.7536 0.7536 0.7536
0.0000 0.0000 0.0000
0.5000 0.5000 0.5000
0.1190 0.1190 0.1190
0.3733 0.3733 0.3733
0.6267 0.6267 0.6267
0.8810 0.8810 0.8810
```

The following is a PBE-GGA calculation of a geometry-optimized Ta6NbRu2 structure, from the Alexandria database.

Values from the calculation:
E_form, kJ/mol of atoms: 8.9
SG: C2/m
ΔE to the lowest computed polymorph, eV per formula unit: 2.80

POSCAR file:
```
Ta6NbRu2
1.0
5.3901 -1.4864 0.0000
5.3901 1.4864 0.0000
-2.2869 0.0000 10.1557
Ta Nb Ru
6 1 2
Direct
0.0051 0.0051 0.2287
0.2750 0.2750 0.6210
0.3694 0.3694 0.9621
0.6306 0.6306 0.0379
0.7250 0.7250 0.3790
0.9949 0.9949 0.7713
0.0000 0.0000 0.5000
0.2962 0.2962 0.1974
0.7038 0.7038 0.8026
```

The following is a PBE-GGA calculation of a geometry-optimized La2Tb7Mg structure, from the Alexandria database.

Values from the calculation:
E_form, kJ/mol of atoms: 16.9
SG: Cmmm

POSCAR file:
```
La2Tb7Mg
1.0
3.2855 -14.5697 0.0000
3.2855 14.5697 0.0000
0.0000 0.0000 3.4282
La Tb Mg
2 7 1
Direct
0.2048 0.7952 0.0000
0.7952 0.2048 0.0000
0.0000 0.0000 0.0000
0.1599 0.3515 0.0000
0.3161 0.6839 0.5000
0.3515 0.1599 0.0000
0.6485 0.8401 0.0000
0.6839 0.3161 0.5000
0.8401 0.6485 0.0000
0.5000 0.5000 0.5000
```

The following is a PBE-GGA calculation of a geometry-optimized Ho5NiTe2 structure, from the Alexandria database.

Values from the calculation:
SG: Cmcm
ΔE to the lowest computed polymorph, eV per formula unit: 2.44
Energy relative to the elements, uncorrected, meV per atom: -431

POSCAR file:
```
Ho5NiTe2
1.0
2.5097 -8.1261 0.0000
2.5097 8.1261 0.0000
0.0000 0.0000 13.4667
Ho Ni Te
10 2 4
Direct
0.1000 0.9000 0.6126
0.1000 0.9000 0.8874
0.2616 0.7384 0.2500
0.3100 0.6900 0.5733
0.3100 0.6900 0.9267
0.6900 0.3100 0.0733
0.6900 0.3100 0.4267
0.7384 0.2616 0.7500
0.9000 0.1000 0.1126
0.9000 0.1000 0.3874
0.2186 0.7814 0.7500
0.7814 0.2186 0.2500
0.0875 0.9125 0.1166
0.0875 0.9125 0.3834
0.9125 0.0875 0.6166
0.9125 0.0875 0.8834
```

The following is a PBE-GGA calculation of a geometry-optimized Zn2InReN4 structure, from the Alexandria database.

Values from the calculation:
SG: I-42m
Energy relative to the elements, uncorrected, meV per atom: 119

POSCAR file:
```
Zn2InReN4
1.0
4.9543 0.0000 0.0000
0.0000 4.9543 0.0000
0.0000 0.0000 8.9934
Zn In Re N
4 2 2 8
Direct
0.0000 0.5000 0.2500
0.0000 0.5000 0.7500
0.5000 0.0000 0.2500
0.5000 0.0000 0.7500
0.0000 0.0000 0.0000
0.5000 0.5000 0.5000
0.0000 0.0000 0.5000
0.5000 0.5000 0.0000
0.2183 0.2183 0.3762
0.2183 0.7817 0.6238
0.2817 0.2817 0.8762
0.2817 0.7183 0.1238
0.7183 0.2817 0.1238
0.7183 0.7183 0.8762
0.7817 0.2183 0.6238
0.7817 0.7817 0.3762
```

The following is a PBE-GGA calculation of a geometry-optimized FeCo structure, from the Alexandria database.

Values from the calculation:
E_form, kJ/mol of atoms: -3.3
SG: P-3m1

POSCAR file:
```
FeCo
1.0
4.0131 0.0000 0.0000
-2.0066 3.4755 0.0000
0.0000 0.0000 9.8498
Fe Co
6 6
Direct
0.0000 0.0000 0.1234
0.0000 0.0000 0.8766
0.3333 0.6667 0.2911
0.3333 0.6667 0.5432
0.6667 0.3333 0.4568
0.6667 0.3333 0.7089
0.0000 0.0000 0.3732
0.0000 0.0000 0.6268
0.3333 0.6667 0.0468
0.3333 0.6667 0.7918
0.6667 0.3333 0.2082
0.6667 0.3333 0.9532
```

The following is a PBE-GGA calculation of a geometry-optimized SrTcRh structure, from the Alexandria database.

Values from the calculation:
E_form, kJ/mol of atoms: 11.6
SG: Imm2
ΔE to the lowest computed polymorph, eV per formula unit: 0.09

POSCAR file:
```
SrTcRh
1.0
4.4940 0.0000 0.0000
0.0000 7.5456 0.0000
0.0000 0.0000 7.6248
Sr Tc Rh
4 4 4
Direct
0.0000 0.0000 0.0000
0.0000 0.5000 0.1433
0.5000 0.0000 0.6433
0.5000 0.5000 0.5000
0.0000 0.3493 0.7416
0.0000 0.6507 0.7416
0.5000 0.1507 0.2416
0.5000 0.8493 0.2416
0.0000 0.1749 0.4065
0.0000 0.8251 0.4065
0.5000 0.3251 0.9065
0.5000 0.6749 0.9065
```

The following is a PBE-GGA calculation of a geometry-optimized RbZnHg2 structure, from the Alexandria database.

Values from the calculation:
E_form, kJ/mol of atoms: 0.0
SG: Fm-3m
ΔE to the lowest computed polymorph, eV per formula unit: 0.34

POSCAR file:
```
RbZnHg2
1.0
8.0579 0.0000 0.0000
0.0000 8.0579 0.0000
0.0000 0.0000 8.0579
Rb Zn Hg
4 4 8
Direct
0.0000 0.0000 0.0000
0.0000 0.5000 0.5000
0.5000 0.0000 0.5000
0.5000 0.5000 0.0000
0.0000 0.0000 0.5000
0.0000 0.5000 0.0000
0.5000 0.0000 0.0000
0.5000 0.5000 0.5000
0.2500 0.2500 0.2500
0.2500 0.2500 0.7500
0.2500 0.7500 0.2500
0.2500 0.7500 0.7500
0.7500 0.2500 0.2500
0.7500 0.2500 0.7500
0.7500 0.7500 0.2500
0.7500 0.7500 0.7500
```

The following is a PBE-GGA calculation of a geometry-optimized RbGaCoSn2 structure, from the Alexandria database.

Values from the calculation:
E_form, kJ/mol of atoms: 28.9
SG: P4/mmm

POSCAR file:
```
RbGaCoSn2
1.0
4.9130 0.0000 0.0000
0.0000 4.9130 0.0000
0.0000 0.0000 6.0416
Rb Ga Co Sn
1 1 1 2
Direct
0.0000 0.0000 0.0000
0.5000 0.5000 0.0000
0.0000 0.0000 0.5000
0.0000 0.5000 0.5000
0.5000 0.0000 0.5000
```

The following is a PBE-GGA calculation of a geometry-optimized RbCdGaAs2 structure, from the Alexandria database.

Values from the calculation:
E_form, kJ/mol of atoms: -24.5
SG: P2/c

POSCAR file:
```
RbCdGaAs2
1.0
8.1465 0.0000 0.0000
0.0000 6.0837 0.0000
-2.7590 0.0000 6.1212
Rb Cd Ga As
2 2 2 4
Direct
0.0000 0.2422 0.2500
0.0000 0.7578 0.7500
0.5000 0.4998 0.2500
0.5000 0.5002 0.7500
0.5000 0.0000 0.0000
0.5000 0.0000 0.5000
0.2708 0.2586 0.8855
0.2708 0.7414 0.3855
0.7292 0.2586 0.6145
0.7292 0.7414 0.1145
```

The following is a PBE-GGA calculation of a geometry-optimized CaZr2TaN4 structure, from the Alexandria database.

Values from the calculation:
SG: Imma
Energy relative to the elements, uncorrected, meV per atom: -1384

POSCAR file:
```
CaZr2TaN4
1.0
-3.2505 3.2734 4.5868
3.2505 -3.2734 4.5868
3.2505 3.2734 -4.5868
Ca Zr Ta N
2 4 2 8
Direct
0.5000 0.0000 0.0000
0.5000 0.5000 0.5000
0.0000 0.0000 0.0000
0.0000 0.0000 0.5000
0.0000 0.5000 0.0000
0.5000 0.0000 0.5000
0.0000 0.5000 0.5000
0.5000 0.5000 0.0000
0.2284 0.7418 0.4866
0.2449 0.2582 0.9866
0.2460 0.2574 0.5114
0.2460 0.7346 0.9886
0.7540 0.2654 0.0114
0.7540 0.7426 0.4886
0.7551 0.7418 0.0134
0.7716 0.2582 0.5134
```

The following is a PBE-GGA calculation of a geometry-optimized PmLuThZr structure, from the Alexandria database.

Values from the calculation:
E_form, kJ/mol of atoms: 14.5
SG: F-43m

POSCAR file:
```
PmLuThZr
1.0
7.7559 0.0000 0.0000
0.0000 7.7559 0.0000
0.0000 0.0000 7.7559
Pm Lu Th Zr
4 4 4 4
Direct
0.0000 0.0000 0.0000
0.0000 0.5000 0.5000
0.5000 0.0000 0.5000
0.5000 0.5000 0.0000
0.2500 0.2500 0.7500
0.2500 0.7500 0.2500
0.7500 0.2500 0.2500
0.7500 0.7500 0.7500
0.0000 0.0000 0.5000
0.0000 0.5000 0.0000
0.5000 0.0000 0.0000
0.5000 0.5000 0.5000
0.2500 0.2500 0.2500
0.2500 0.7500 0.7500
0.7500 0.2500 0.7500
0.7500 0.7500 0.2500
```

The following is a PBE-GGA calculation of a geometry-optimized PaAg6F12 structure, from the Alexandria database.

Values from the calculation:
SG: R-3
Energy relative to the elements, uncorrected, meV per atom: -1887

POSCAR file:
```
PaAg6F12
1.0
5.2907 3.0546 3.4360
-5.2907 3.0546 3.4360
0.0000 -6.1091 3.4360
Pa Ag F
1 6 12
Direct
0.0000 0.0000 0.0000
0.1527 0.6040 0.3450
0.3450 0.1527 0.6040
0.3960 0.6550 0.8473
0.6040 0.3450 0.1527
0.6550 0.8473 0.3960
0.8473 0.3960 0.6550
0.0202 0.7020 0.9201
0.0799 0.9798 0.2980
0.1659 0.4001 0.6086
0.2980 0.0799 0.9798
0.3914 0.8341 0.5999
0.4001 0.6086 0.1659
0.5999 0.3914 0.8341
0.6086 0.1659 0.4001
0.7020 0.9201 0.0202
0.8341 0.5999 0.3914
0.9201 0.0202 0.7020
0.9798 0.2980 0.0799
```